Record 1
Below is an optimized crystal structure of TbPr2Dy2Mg, with properties calculated at the PBE level.

Cell: 6.8587 6.4291 10.0466 Å, 108.66 109.96 90.00°
Fractional positions:
Pr 0.3171 0.6529 0.3059
Pr 0.6829 0.3471 0.6941
Mg 0.5000 0.2500 0.0000
Dy 0.1946 0.3497 0.6994
Dy 0.5048 0.8497 0.6994
Mg 0.5000 0.7500 0.0000
Pr 0.0113 0.8471 0.6941
Tb 0.0000 0.2500 0.0000
Pr 0.9887 0.1529 0.3059
Dy 0.8054 0.6503 0.3006
Tb 0.0000 0.7500 0.0000
Dy 0.4952 0.1503 0.3006

total energy: -47.7 eV/cell
mass density: 6.70 g/cm3

=====

Record 2
Below is an optimized crystal structure of Tb3Pr2Dy6Mg, with properties calculated at the PBE level.

Cell: 6.1463 6.1463 11.7923 Å, 95.01 95.01 120.01°
Fractional positions:
Tb 0.5000 0.5000 0.5000
Dy 0.7522 0.7522 0.2527
Dy 0.2478 0.2478 0.7473
Pr 0.6664 0.3336 0.0000
Dy 0.9166 0.5854 0.7484
Dy 0.4146 0.0834 0.2516
Pr 0.3336 0.6664 0.0000
Tb 0.8343 0.1657 0.5000
Mg 0.0000 0.0000 0.0000
Tb 0.1657 0.8343 0.5000
Dy 0.5854 0.9166 0.7484
Dy 0.0834 0.4146 0.2516

total energy: -52.4 eV/cell
mass density: 7.69 g/cm3

=====

Record 3
Below is an optimized crystal structure of TbPr2Dy4Mg, with properties calculated at the PBE level.

Cell: 4.9853 5.0032 11.3590 Å, 63.87 90.00 90.00°
Fractional positions:
Dy 0.0000 0.7489 0.7511
Dy 0.0000 0.2511 0.2489
Dy 0.5000 0.2492 0.7510
Mg 0.5000 0.5000 0.0000
Tb 0.0000 0.5000 0.5000
Pr 0.0000 0.0000 0.0000
Pr 0.5000 0.0000 0.5000
Dy 0.5000 0.7508 0.2490

total energy: -34.0 eV/cell
mass density: 7.28 g/cm3

=====

Spin magnetization readings, ordered: 0.0, 0.0, 0.0 μB per formula unit